# Th2TlIr

Crystalline Th2TlIr at its relaxed geometry (GGA-PBE, the Alexandria database).

The structure in POSCAR format:
```
Th2TlIr
1.0
3.581 0.000 0.000
0.000 3.581 0.000
0.000 0.000 8.253
Th Tl Ir
2 1 1
direct
0.000 0.000 0.208
0.000 0.000 0.792
0.500 0.500 0.500
0.500 0.500 0.000
```

total moment	0.000	μB per atom
excess energy over the best structure of this formula in the dataset	0.0869	eV per atom
formation energy	-0.455	eV/atom
calculated volume	105.8	Å³/cell
space group	P4/mmm